Record 1
Entry from the Alexandria database: a geometry-optimized Th5NiBi2 structure (GGA-PBE). Values from VASP.

* energy above the most stable polymorph in this dataset: 0.00 eV per formula unit

Quantum ESPRESSO input file:
```
&SYSTEM
  ibrav = 0, nat = 16, ntyp = 3
/
ATOMIC_SPECIES
Ni 58.69 Ni.upf
Bi 208.98 Bi.upf
Th 232.04 Th.upf
CELL_PARAMETERS angstrom
-0.071 -1.646 -4.270
7.950 -2.128 0.688
-3.446 -11.431 4.464
ATOMIC_POSITIONS angstrom
Ni 0.000 0.000 0.000
Ni 2.252 -6.779 2.576
Bi 4.021 -4.120 -0.932
Bi -0.443 -4.680 -0.642
Bi 4.876 -10.525 1.523
Bi 0.412 -11.085 1.814
Th 0.425 -7.857 0.569
Th 1.925 -4.286 1.620
Th 2.579 -9.272 3.532
Th -1.723 -5.715 2.232
Th 3.086 -13.278 2.614
Th -1.776 -9.472 3.681
Th 4.008 -7.348 0.313
Th 6.281 -4.086 1.471
Th 3.975 -1.064 0.344
Th 1.347 -1.927 -1.733
```

Record 2
Entry from the Alexandria database: a geometry-optimized Th4Ni2Bi structure (GGA-PBE). Values from VASP.

* raw total energy: -6.7139 eV/atom

Quantum ESPRESSO input file:
```
&SYSTEM
  ibrav = 0, nat = 7, ntyp = 3
/
ATOMIC_SPECIES
Ni 58.69 Ni.upf
Bi 208.98 Bi.upf
Th 232.04 Th.upf
CELL_PARAMETERS angstrom
-2.625 1.008 3.067
-0.596 -2.623 3.175
8.714 5.125 8.596
ATOMIC_POSITIONS angstrom
Ni 5.674 3.449 9.367
Ni -0.180 0.062 5.471
Bi 2.747 1.755 7.419
Th 5.522 3.278 6.471
Th -0.117 0.015 2.717
Th -0.028 0.232 8.367
Th 5.611 3.495 12.120
```

Record 3
Entry from the Alexandria database: a geometry-optimized Th4Ni3Bi8 structure (GGA-PBE). Values from VASP.

* raw total energy: -5.6921 eV/atom

Quantum ESPRESSO input file:
```
&SYSTEM
  ibrav = 0, nat = 15, ntyp = 3
/
ATOMIC_SPECIES
Bi 208.98 Bi.upf
Th 232.04 Th.upf
Ni 58.69 Ni.upf
CELL_PARAMETERS angstrom
4.614 0.000 0.000
0.000 4.614 0.000
0.000 0.000 18.909
ATOMIC_POSITIONS angstrom
Bi 0.000 2.307 17.519
Bi 2.307 0.000 10.939
Bi 2.307 2.307 14.199
Bi 0.000 0.000 4.693
Bi 2.307 0.000 1.390
Bi 0.000 0.000 14.216
Bi 0.000 2.307 7.970
Bi 2.307 2.307 4.710
Th 2.307 0.000 16.848
Th 0.000 2.307 11.510
Th 0.000 2.307 2.061
Th 2.307 0.000 7.399
Ni 0.000 0.000 9.455
Ni 0.000 0.000 0.000
Ni 2.307 2.307 9.455
```

Record 4
Entry from the Alexandria database: a geometry-optimized Th5NiBi2 structure (GGA-PBE). Values from VASP.

* energy above the most stable polymorph in this dataset: 2.71 eV per formula unit

Quantum ESPRESSO input file:
```
&SYSTEM
  ibrav = 0, nat = 16, ntyp = 3
/
ATOMIC_SPECIES
Th 232.04 Th.upf
Ni 58.69 Ni.upf
Bi 208.98 Bi.upf
CELL_PARAMETERS angstrom
6.163 0.000 0.000
-3.081 6.373 0.000
0.000 0.000 13.175
ATOMIC_POSITIONS angstrom
Th 0.000 4.784 9.882
Th 0.000 0.705 1.515
Th 3.081 1.498 11.838
Th 0.000 4.875 1.338
Th 3.081 1.498 7.925
Th 3.081 5.668 11.661
Th 3.081 1.589 3.294
Th 3.081 5.668 8.102
Th 0.000 0.705 5.073
Th 0.000 4.875 5.250
Ni 3.081 3.688 9.882
Ni 0.000 2.685 3.294
Bi 3.081 3.801 1.097
Bi 0.000 2.572 7.685
Bi 0.000 2.572 12.079
Bi 3.081 3.801 5.491
```

Record 5
Entry from the Alexandria database: a geometry-optimized Th3Ni3Bi4 structure (GGA-PBE). Values from VASP.

* raw total energy: -6.1636 eV/atom

Quantum ESPRESSO input file:
```
&SYSTEM
  ibrav = 0, nat = 20, ntyp = 3
/
ATOMIC_SPECIES
Ni 58.69 Ni.upf
Bi 208.98 Bi.upf
Th 232.04 Th.upf
CELL_PARAMETERS angstrom
8.521 0.000 0.000
-2.840 8.033 0.000
-2.840 -4.017 6.957
ATOMIC_POSITIONS angstrom
Ni -2.130 4.519 2.609
Ni 3.550 -2.510 6.088
Ni -0.710 0.502 4.348
Ni 2.130 6.025 1.739
Ni 2.130 1.506 0.870
Ni 3.550 2.008 5.218
Bi 1.428 4.017 0.000
Bi 4.731 0.666 1.153
Bi -0.949 -1.343 2.325
Bi 0.471 4.694 3.479
Bi -2.369 -3.351 5.804
Bi -2.369 2.674 4.632
Bi 1.891 0.677 3.479
Bi 5.688 4.017 0.000
Th -0.710 2.008 1.739
Th -0.710 6.527 0.870
Th 4.970 -0.502 4.348
Th 3.550 3.515 2.609
Th 0.710 2.510 6.088
Th 0.710 -2.008 5.218
```

Record 6
Entry from the Alexandria database: a geometry-optimized Th12Ni5Bi structure (GGA-PBE). Values from VASP.

* raw total energy: -6.9826 eV/atom

Quantum ESPRESSO input file:
```
&SYSTEM
  ibrav = 0, nat = 18, ntyp = 3
/
ATOMIC_SPECIES
Th 232.04 Th.upf
Ni 58.69 Ni.upf
Bi 208.98 Bi.upf
CELL_PARAMETERS angstrom
7.917 -0.265 -3.212
-4.190 7.120 -2.195
-0.184 0.265 8.542
ATOMIC_POSITIONS angstrom
Th 2.590 4.732 -0.549
Th -2.575 5.824 0.426
Th 0.953 2.388 3.684
Th -2.761 7.020 4.006
Th 3.818 4.295 2.735
Th -0.276 2.825 0.400
Th -0.593 4.997 5.926
Th 0.518 5.824 2.558
Th 4.135 2.123 -2.791
Th 6.118 1.296 2.708
Th 3.024 1.296 0.576
Th 6.304 0.100 -0.872
Ni 2.379 4.376 -3.452
Ni 3.329 0.906 3.444
Ni 1.348 2.479 -1.955
Ni 0.213 6.213 -0.309
Ni 0.000 0.000 0.000
Bi -2.187 3.692 3.174
```

Record 7
Entry from the Alexandria database: a geometry-optimized ThNiBi3 structure (GGA-PBE). Values from VASP.

* raw total energy: -5.2082 eV/atom

Quantum ESPRESSO input file:
```
&SYSTEM
  ibrav = 0, nat = 5, ntyp = 3
/
ATOMIC_SPECIES
Th 232.04 Th.upf
Bi 208.98 Bi.upf
Ni 58.69 Ni.upf
CELL_PARAMETERS angstrom
-2.145 -4.188 1.185
3.744 -1.260 2.323
-4.167 3.255 3.961
ATOMIC_POSITIONS angstrom
Th -1.262 -1.878 1.014
Bi -1.148 1.313 2.563
Bi 1.829 -0.581 1.258
Bi -0.389 -1.365 4.407
Ni -2.911 0.009 4.696
```

Record 8
Entry from the Alexandria database: a geometry-optimized Ti4NiBi structure (GGA-PBE). Values from VASP.

* energy above the most stable polymorph in this dataset: 0.00 eV per formula unit

Quantum ESPRESSO input file:
```
&SYSTEM
  ibrav = 0, nat = 12, ntyp = 3
/
ATOMIC_SPECIES
Ti 47.87 Ti.upf
Ni 58.69 Ni.upf
Bi 208.98 Bi.upf
CELL_PARAMETERS angstrom
-1.070 -4.692 -0.898
0.200 1.182 -6.414
6.884 0.297 3.589
ATOMIC_POSITIONS angstrom
Ti 1.142 -1.776 -5.426
Ti 1.032 -2.423 -1.918
Ti -0.909 -3.741 -6.063
Ti 0.039 0.230 -1.250
Ti 3.731 -3.311 -0.494
Ti 4.873 -1.437 1.702
Ti 4.982 -0.790 -1.805
Ti 2.284 0.098 -3.230
Ni -0.179 -0.637 -3.442
Ni 6.193 -2.576 -0.281
Bi 3.443 -2.631 -3.697
Bi 2.572 -0.582 -0.027
```

Record 9
Entry from the Alexandria database: a geometry-optimized Ti6NiBi structure (GGA-PBE). Values from VASP.

* raw total energy: -7.0515 eV/atom

Quantum ESPRESSO input file:
```
&SYSTEM
  ibrav = 0, nat = 8, ntyp = 3
/
ATOMIC_SPECIES
Ti 47.87 Ti.upf
Ni 58.69 Ni.upf
Bi 208.98 Bi.upf
CELL_PARAMETERS angstrom
6.023 0.551 -0.767
-1.729 5.796 -0.767
-1.650 -2.439 4.537
ATOMIC_POSITIONS angstrom
Ti 2.786 4.118 -0.040
Ti 3.493 1.374 0.372
Ti -0.024 3.753 0.372
Ti -0.848 2.534 2.631
Ti -0.142 -0.210 3.043
Ti 2.668 0.155 2.631
Ni 1.322 1.954 1.502
Bi 0.000 0.000 0.000
```

Record 10
Entry from the Alexandria database: a geometry-optimized TiNi2Bi structure (GGA-PBE). Values from VASP.

* raw total energy: -5.5942 eV/atom

Quantum ESPRESSO input file:
```
&SYSTEM
  ibrav = 0, nat = 8, ntyp = 3
/
ATOMIC_SPECIES
Ti 47.87 Ti.upf
Bi 208.98 Bi.upf
Ni 58.69 Ni.upf
CELL_PARAMETERS angstrom
4.066 0.000 0.000
0.000 4.066 0.000
2.033 2.033 8.534
ATOMIC_POSITIONS angstrom
Ti 2.033 2.033 0.000
Ti 2.033 4.066 4.267
Bi 0.000 0.000 0.000
Bi 4.066 2.033 4.267
Ni 5.082 4.894 6.400
Ni 1.204 3.049 2.133
Ni 3.049 3.237 6.400
Ni 2.861 1.016 2.133
```

Record 11
Entry from the Alexandria database: a geometry-optimized TiNiBi3 structure (GGA-PBE). Values from VASP.

* energy above the most stable polymorph in this dataset: 0.80 eV per formula unit

Quantum ESPRESSO input file:
```
&SYSTEM
  ibrav = 0, nat = 5, ntyp = 3
/
ATOMIC_SPECIES
Bi 208.98 Bi.upf
Ti 47.87 Ti.upf
Ni 58.69 Ni.upf
CELL_PARAMETERS angstrom
5.342 0.000 0.000
0.000 5.342 0.000
0.000 0.000 5.342
ATOMIC_POSITIONS angstrom
Bi 2.671 0.000 0.000
Bi 0.000 0.000 2.671
Bi 0.000 2.671 0.000
Ti 0.000 0.000 0.000
Ni 2.671 2.671 2.671
```

Record 12
Entry from the Alexandria database: a geometry-optimized Ti2Ni2Bi structure (GGA-PBE). Values from VASP.

* energy above the most stable polymorph in this dataset: 0.92 eV per formula unit

Quantum ESPRESSO input file:
```
&SYSTEM
  ibrav = 0, nat = 5, ntyp = 3
/
ATOMIC_SPECIES
Ti 47.87 Ti.upf
Bi 208.98 Bi.upf
Ni 58.69 Ni.upf
CELL_PARAMETERS angstrom
-0.463 2.200 2.545
-3.250 0.371 -0.912
-3.799 -4.440 5.411
ATOMIC_POSITIONS angstrom
Ti -5.148 -1.655 5.025
Ti -2.365 -0.214 2.020
Bi 0.000 0.000 0.000
Ni -4.453 -1.392 2.658
Ni -3.060 -0.477 4.387
```